Density functional theory data (GGA+U) for CoCl2O2 after structural relaxation.

Cell lengths 5.6882, 5.6882, 3.4530 Å; angles 94.78, 94.78, 98.91 degrees
Fractional positions:
Co: 0.0000 0.0000 0.0000
Cl: 0.2270 0.2270 0.5662
Cl: 0.7730 0.7730 0.4338
O: 0.1887 0.8113 0.0000
O: 0.8113 0.1887 0.0000

Summary:
Crystal system ... monoclinic
Spin magnetization ... 1.00 μB/f.u.
Density ... 2.5 g/cm³
DFT total energy ... -3.57 eV/atom